No. 1
Below is a relaxed VCoAs2 crystal, with properties calculated at the PBE level.

a = 6.0325 Å, b = 6.0325 Å, c = 6.0325 Å
α = 90.00°, β = 90.00°, γ = 90.00°
Closest atoms and distances in Å follow each position.
Space group Fm-3m (No. 225)
Symmetry-distinct sites (fractional):
1 V 0.0000 0.0000 0.0000 [4 per cell]  8 As 2.61
2 Co 0.0000 0.0000 0.5000 [4 per cell]  8 As 2.61
3 As 0.2500 0.2500 0.2500 [8 per cell]  4 Co 2.61, 4 V 2.61

Computed properties:
**Energy above the most stable polymorph in this dataset**: 0 meV per atom
**E_form**: -0.04 eV per atom

---

No. 2
Below is a relaxed BeTl3Tc crystal, with properties calculated at the PBE level.

a = 4.9408 Å, b = 4.9408 Å, c = 4.9408 Å
α = 90.00°, β = 90.00°, γ = 90.00°
Closest atoms and distances in Å follow each position.
Space group Pm-3m (No. 221)
Symmetry-distinct sites (fractional):
1 Be 0.0000 0.0000 0.0000 [1 per cell]  6 Tl 2.47
2 Tl 0.0000 0.0000 0.5000 [3 per cell]  2 Be 2.47
3 Tc 0.5000 0.5000 0.5000 [1 per cell]  12 Tl 3.49

Computed properties:
**Energy above the most stable polymorph in this dataset**: 58 meV per atom
**E_form**: 1.05 eV per atom

---

No. 3
Below is a relaxed BeAsRuF2 crystal, with properties calculated at the PBE level.

a = 3.9591 Å, b = 3.9591 Å, c = 4.9907 Å
α = 90.00°, β = 90.00°, γ = 90.00°
Closest atoms and distances in Å follow each position.
Space group P4/mmm (No. 123)
Symmetry-distinct sites (fractional):
1 Be 0.0000 0.0000 0.0000 [1 per cell]  2 As 2.50
2 As 0.0000 0.0000 0.5000 [1 per cell]  4 F 1.98
3 Ru 0.5000 0.5000 0.0000 [1 per cell]  4 Be 2.80
4 F 0.0000 0.5000 0.5000 [2 per cell]  2 As 1.98

Computed properties:
**Formation energy from raw total energies**: 0.087 eV per atom

---

No. 4
Below is a relaxed As2S2F crystal, with properties calculated at the PBE level.

a = 7.3098 Å, b = 7.3098 Å, c = 3.5248 Å
α = 90.00°, β = 90.00°, γ = 90.00°
Closest atoms and distances in Å follow each position.
Space group P4/mbm (No. 127)
Symmetry-distinct sites (fractional):
1 As 0.2043 0.2957 0.0000 [4 per cell]  2 S 2.30
2 S 0.1535 0.6535 0.5000 [4 per cell]  2 As 2.30
3 F 0.0000 0.0000 0.0000 [2 per cell]  4 As 2.63

Computed properties:
**Energy above the most stable polymorph in this dataset**: 39 meV per atom
**Formation energy from raw total energies**: -0.271 eV per atom

---

No. 5
Below is a relaxed TbAl2OsO8 crystal, with properties calculated at the PBE level.

a = 7.0584 Å, b = 6.1869 Å, c = 6.5711 Å
α = 90.00°, β = 98.16°, γ = 90.00°
Closest atoms and distances in Å follow each position.
Space group C2/m (No. 12)
Symmetry-distinct sites (fractional):
1 Tb 0.0000 0.0000 0.0000 [2 per cell]  6 O 2.29-2.30
2 Al 0.0395 0.5000 0.2110 [4 per cell]  5 O 1.82-1.93
3 Os 0.0000 0.0000 0.5000 [2 per cell]  6 O 1.82-1.95
4 O 0.0068 0.2159 0.2858 [8 per cell]  1 Al 1.85, 1 Os 1.95
5 O 0.1751 0.5000 0.9948 [4 per cell]  2 Al 1.82-1.88
6 O 0.2401 0.5000 0.4433 [4 per cell]  1 Os 1.82, 1 Al 1.93

Computed properties:
**Formation energy from raw total energies**: -2.221 eV per atom

---

No. 6
Below is a relaxed Y2O3 crystal, with properties calculated at the PBE level.

a = 5.3664 Å, b = 5.3664 Å, c = 5.3664 Å
α = 90.00°, β = 90.00°, γ = 90.00°
Closest atoms and distances in Å follow each position.
Space group Pn-3m (No. 224, origin choice 2)
Symmetry-distinct sites (fractional):
1 Y 0.0000 0.0000 0.0000 [4 per cell]  6 O 2.32
2 O 0.2500 0.2500 0.7500 [6 per cell]  4 Y 2.32

Computed properties:
**Formation energy from raw total energies**: -3.072 eV per atom